## A
Computed, not measured: a geometry-optimized Ba2SrCl structure at the PBE-GGA level of DFT.

The symmetry is P4mm, No. 99.

a b c (Å): 4.4271 4.4271 11.0922
angles (deg): 90.00 90.00 90.00
With the nearest neighbours (Å) after each atom.
Atoms (fractional coordinates):
Ba: 0.0000 0.0000 0.0000  1 Cl 3.41
Ba: 0.5000 0.5000 0.3099  4 Cl 3.13
Sr: 0.5000 0.5000 0.7182  5 Ba 4.42-4.53, 4 Sr 4.43
Cl: 0.0000 0.0000 0.3074  5 Ba 3.13-3.41



## B
Computed, not measured: a geometry-optimized Ba2SrCl structure at the PBE-GGA level of DFT.

The symmetry is I-42d, No. 122.

a b c (Å): 8.3380 8.3380 8.3380
angles (deg): 106.32 106.32 115.98
With the nearest neighbours (Å) after each atom.
Atoms (fractional coordinates):
Ba: 0.0223 0.6250 0.8973  2 Cl 3.10
Ba: 0.3750 0.2723 0.3973  2 Cl 3.10
Ba: 0.7277 0.1250 0.1027  2 Cl 3.10
Ba: 0.8750 0.9777 0.6027  2 Cl 3.10
Sr: 0.2500 0.7500 0.5000  8 Ba 4.41-4.46, 2 Cl 4.42
Sr: 0.5000 0.5000 0.0000  8 Ba 4.41-4.46, 2 Cl 4.42
Cl: 0.0000 0.0000 0.0000  4 Ba 3.10
Cl: 0.7500 0.2500 0.5000  4 Ba 3.10



## C
Computed, not measured: a geometry-optimized Ba2SrCl structure at the PBE-GGA level of DFT.

The symmetry is Cmm2, No. 35.

a b c (Å): 4.2804 4.2804 11.9749
angles (deg): 90.00 90.00 118.13
With the nearest neighbours (Å) after each atom.
Atoms (fractional coordinates):
Ba: 0.0000 0.0000 0.0000  2 Sr 4.18, 8 Ba 4.28-4.40
Ba: 0.5000 0.5000 0.3090  2 Cl 3.36
Sr: 0.5000 0.5000 0.7028  2 Cl 3.10
Cl: 0.0000 0.0000 0.5206  2 Sr 3.10, 2 Ba 3.36



## D
Computed, not measured: a geometry-optimized Ba2SrCl structure at the PBE-GGA level of DFT.

The symmetry is Pm, No. 6.

a b c (Å): 7.2238 4.3218 7.3186
angles (deg): 90.00 119.56 90.00
With the nearest neighbours (Å) after each atom.
Atoms (fractional coordinates):
Ba: 0.0000 0.0000 0.0000  2 Cl 3.59-3.64
Ba: 0.3235 0.5000 0.6490  2 Cl 3.21
Sr: 0.6799 0.5000 0.3628  2 Cl 3.06
Cl: 0.5151 0.0000 0.0228  2 Sr 3.06, 2 Ba 3.21



Relative calculated energies, zero for the most stable structure, unit kJ/mol of atoms: A 5.0; B 9.0; C 0.0; D 0.9.



## A
Computed, not measured: a geometry-optimized Ba2SrCl structure at the PBE-GGA level of DFT.

The symmetry is R-3m, No. 166.

a b c (Å): 11.8989 11.8989 11.8989
angles (deg): 21.23 21.23 21.23
With the nearest neighbours (Å) after each atom.
Atoms (fractional coordinates):
Ba: 0.2301 0.2301 0.2301  3 Cl 3.36
Ba: 0.7699 0.7699 0.7699  3 Cl 3.36
Sr: 0.0000 0.0000 0.0000  6 Sr 4.38, 6 Ba 4.40
Cl: 0.5000 0.5000 0.5000  6 Ba 3.36



## B
Computed, not measured: a geometry-optimized Ba2SrCl structure at the PBE-GGA level of DFT.

The symmetry is Cmmm, No. 65.

a b c (Å): 4.2963 4.2963 12.0110
angles (deg): 90.00 90.00 117.14
With the nearest neighbours (Å) after each atom.
Atoms (fractional coordinates):
Ba: 0.0000 0.0000 0.1996  2 Cl 3.28
Ba: 0.0000 0.0000 0.8004  2 Cl 3.28
Sr: 0.5000 0.5000 0.5000  4 Ba 4.25, 6 Sr 4.30-4.48
Cl: 0.5000 0.5000 0.0000  4 Ba 3.28



Relative calculated energies, zero for the most stable structure, unit kJ/mol of atoms: A 0.0; B 4.5.



## A
Computed, not measured: a geometry-optimized BaSr2Cl structure at the PBE-GGA level of DFT.

The symmetry is I-42d, No. 122.

a b c (Å): 8.0836 8.0836 8.0836
angles (deg): 102.97 102.97 123.45
With the nearest neighbours (Å) after each atom.
Atoms (fractional coordinates):
Ba: 0.0000 0.0000 0.0000  2 Cl 3.83, 4 Sr 4.10
Ba: 0.7500 0.2500 0.5000  2 Cl 3.83, 4 Sr 4.10
Sr: 0.2274 0.6250 0.1024  2 Cl 3.08
Sr: 0.3750 0.4774 0.6024  2 Cl 3.08
Sr: 0.5226 0.1250 0.8976  2 Cl 3.08
Sr: 0.8750 0.7726 0.3976  2 Cl 3.08
Cl: 0.2500 0.7500 0.5000  4 Sr 3.08
Cl: 0.5000 0.5000 0.0000  4 Sr 3.08



## B
Computed, not measured: a geometry-optimized BaSr2Cl structure at the PBE-GGA level of DFT.

The symmetry is Cm, No. 8.

a b c (Å): 7.4796 7.4796 7.3076
angles (deg): 118.61 118.61 31.77
With the nearest neighbours (Å) after each atom.
Atoms (fractional coordinates):
Ba: 0.0000 0.0000 0.0000  2 Cl 3.54
Sr: 0.6304 0.6304 0.6349  2 Cl 3.22
Sr: 0.8190 0.8190 0.3077  2 Cl 3.15
Cl: 0.2968 0.2968 0.6107  4 Sr 3.15-3.22



## C
Computed, not measured: a geometry-optimized BaSr2Cl structure at the PBE-GGA level of DFT.

The symmetry is C2/m, No. 12.

a b c (Å): 8.0107 8.0107 4.2334
angles (deg): 104.51 104.51 123.18
With the nearest neighbours (Å) after each atom.
Atoms (fractional coordinates):
Ba: 0.0000 0.0000 0.0000  4 Cl 3.81-3.93, 4 Sr 4.03, 2 Ba 4.23
Sr: 0.0000 0.5000 0.5000  6 Sr 3.81-4.23, 2 Ba 4.03, 2 Cl 4.03
Sr: 0.5000 0.0000 0.5000  6 Sr 3.81-4.23, 2 Ba 4.03, 2 Cl 4.03
Cl: 0.5000 0.5000 0.0000  4 Ba 3.81-3.93, 4 Sr 4.03, 2 Cl 4.23



Relative calculated energies, zero for the most stable structure, unit kJ/mol of atoms: A 7.1; B 0.0; C 26.0.



## A
Computed, not measured: a geometry-optimized BaSr3Cl structure at the PBE-GGA level of DFT.

The symmetry is Pm-3m, No. 221.

a b c (Å): 6.2810 6.2810 6.2810
angles (deg): 90.00 90.00 90.00
With the nearest neighbours (Å) after each atom.
Atoms (fractional coordinates):
Ba: 0.0000 0.0000 0.0000  12 Sr 4.44
Sr: 0.0000 0.5000 0.5000  2 Cl 3.14
Sr: 0.5000 0.0000 0.5000  2 Cl 3.14
Sr: 0.5000 0.5000 0.0000  2 Cl 3.14
Cl: 0.5000 0.5000 0.5000  6 Sr 3.14



## B
Computed, not measured: a geometry-optimized BaSr3Cl structure at the PBE-GGA level of DFT.

The symmetry is Pm-3m, No. 221.

a b c (Å): 7.6348 7.6348 7.6348
angles (deg): 90.00 90.00 90.00
With the nearest neighbours (Å) after each atom.
Atoms (fractional coordinates):
Ba: 0.0000 0.0000 0.0000  6 Sr 3.82
Sr: 0.0000 0.0000 0.5000  2 Ba 3.82
Sr: 0.0000 0.5000 0.0000  2 Ba 3.82
Sr: 0.5000 0.0000 0.0000  2 Ba 3.82
Cl: 0.5000 0.5000 0.5000  12 Sr 5.40



Relative calculated energies, zero for the most stable structure, unit kJ/mol of atoms: A 0.0; B 105.1.